The following is a PBE-GGA calculation of V3BH after structural relaxation, from Alexandria via LeMat-Bulk.

Lattice parameters (Å, degrees): 3.632 3.632 3.632 90.00 90.00 90.00
Space group Pm-3m (No. 221)
Asymmetric unit:
1 V 0.000 0.000 0.500 x3
2 B 0.500 0.500 0.500 x1
3 H 0.000 0.000 0.000 x1

Summary:
Total DFT energy (no corrections) = -7.52 eV per atom
Crystal system = cubic
Density of states at the Fermi level = 5.01 states/eV per cell